Here is an optimized crystal structure of BaSrSiO2 from Alexandria. Energies are from PBE-GGA.

ρ	4.59	Mg/m³
space group	P4/mmm
E_form (uncorrected)	-0.30	eV/f.u.

Geometry as POSCAR:
```
BaSrSiO2
1.0
4.3768 0.0000 0.0000
0.0000 4.3768 0.0000
0.0000 0.0000 5.3798
Ba Sr Si O
1 1 1 2
Direct
0.0000 0.0000 0.0000
0.5000 0.5000 0.0000
0.0000 0.0000 0.5000
0.0000 0.5000 0.5000
0.5000 0.0000 0.5000
```

=====

Here is an optimized crystal structure of Ba3SrSi2O8 from Alexandria. Energies are from PBE-GGA.

ρ	4.87	Mg/m³
space group	P-3m1
E_form (uncorrected)	-41.28	eV/f.u.

Geometry as POSCAR:
```
Ba3SrSi2O8
1.0
5.9444 0.0000 0.0000
-2.9722 5.1480 0.0000
0.0000 0.0000 7.6130
Ba Sr Si O
3 1 2 8
Direct
0.0000 0.0000 0.0000
0.3333 0.6667 0.6791
0.6667 0.3333 0.3209
0.0000 0.0000 0.5000
0.3333 0.6667 0.2157
0.6667 0.3333 0.7843
0.1833 0.3666 0.2971
0.1833 0.8167 0.2971
0.3333 0.6667 0.0024
0.3666 0.1833 0.7029
0.6334 0.8167 0.2971
0.6667 0.3333 0.9976
0.8167 0.1833 0.7029
0.8167 0.6334 0.7029
```

=====

Here is an optimized crystal structure of Ba2SrSi2O6 from Alexandria. Energies are from PBE-GGA.

ρ	4.34	Mg/m³
space group	R-3m
E_form (uncorrected)	-29.97	eV/f.u.

Geometry as POSCAR:
```
Ba2SrSi2O6
1.0
2.9418 1.6984 6.5710
-2.9418 1.6984 6.5710
0.0000 -3.3969 6.5710
Ba Sr Si O
2 1 2 6
Direct
0.2128 0.2128 0.2128
0.7872 0.7872 0.7872
0.0000 0.0000 0.0000
0.4423 0.4423 0.4423
0.5577 0.5577 0.5577
0.2634 0.2634 0.7317
0.2634 0.7317 0.2634
0.2683 0.7366 0.7366
0.7317 0.2634 0.2634
0.7366 0.2683 0.7366
0.7366 0.7366 0.2683
```

=====

Here is an optimized crystal structure of BaTaSi2O8 from Alexandria. Energies are from PBE-GGA.

ρ	4.48	Mg/m³
space group	C2/m
E_form (uncorrected)	-32.35	eV/f.u.

Geometry as POSCAR:
```
BaTaSi2O8
1.0
4.6495 -2.7004 0.0000
4.6495 2.7004 0.0000
-0.3203 0.0000 7.4211
Ba Ta Si O
1 1 2 8
Direct
0.0000 0.0000 0.0000
0.0000 0.0000 0.5000
0.3301 0.3301 0.2672
0.6699 0.6699 0.7328
0.1730 0.1730 0.3574
0.1733 0.6679 0.3292
0.3091 0.3091 0.0466
0.3321 0.8267 0.6708
0.6679 0.1733 0.3292
0.6909 0.6909 0.9534
0.8267 0.3321 0.6708
0.8270 0.8270 0.6426
```

=====

Here is an optimized crystal structure of Ba3TbSi2O8 from Alexandria. Energies are from PBE-GGA.

ρ	5.60	Mg/m³
space group	P-3m1
E_form (uncorrected)	-40.38	eV/f.u.

Geometry as POSCAR:
```
Ba3TbSi2O8
1.0
5.7734 0.0000 0.0000
-2.8867 4.9999 0.0000
0.0000 0.0000 7.7527
Ba Tb Si O
3 1 2 8
Direct
0.0000 0.0000 0.0000
0.3333 0.6667 0.6885
0.6667 0.3333 0.3115
0.0000 0.0000 0.5000
0.3333 0.6667 0.2263
0.6667 0.3333 0.7737
0.1781 0.3562 0.3065
0.1781 0.8219 0.3065
0.3333 0.6667 0.0182
0.3562 0.1781 0.6935
0.6438 0.8219 0.3065
0.6667 0.3333 0.9818
0.8219 0.1781 0.6935
0.8219 0.6438 0.6935
```

=====

Here is an optimized crystal structure of BaSiTeO6 from Alexandria. Energies are from PBE-GGA.

ρ	4.97	Mg/m³
space group	P-31c
E_form (uncorrected)	-18.85	eV/f.u.

Geometry as POSCAR:
```
BaSiTeO6
1.0
5.0462 0.0000 0.0000
-2.5231 4.3701 0.0000
0.0000 0.0000 11.7893
Ba Si Te O
2 2 2 12
Direct
0.0000 0.0000 0.0000
0.0000 0.0000 0.5000
0.3333 0.6667 0.2500
0.6667 0.3333 0.7500
0.3333 0.6667 0.7500
0.6667 0.3333 0.2500
0.0196 0.3988 0.1594
0.0196 0.6208 0.3406
0.3792 0.3988 0.3406
0.3792 0.9804 0.1594
0.3988 0.0196 0.6594
0.3988 0.3792 0.8406
0.6012 0.6208 0.1594
0.6012 0.9804 0.3406
0.6208 0.0196 0.8406
0.6208 0.6012 0.6594
0.9804 0.3792 0.6594
0.9804 0.6012 0.8406
```

=====

Here is an optimized crystal structure of BaSi2TeO8 from Alexandria. Energies are from PBE-GGA.

ρ	4.21	Mg/m³
space group	C2/m
E_form (uncorrected)	-26.41	eV/f.u.

Geometry as POSCAR:
```
BaSi2TeO8
1.0
4.1139 -2.6581 0.0000
4.1139 2.6581 0.0000
-0.4650 0.0000 8.0990
Ba Si Te O
1 2 1 8
Direct
0.0000 0.0000 0.0000
0.3635 0.3635 0.7023
0.6365 0.6365 0.2977
0.0000 0.0000 0.5000
0.2283 0.7342 0.6749
0.2306 0.2306 0.5420
0.2658 0.7717 0.3251
0.3102 0.3102 0.8867
0.6898 0.6898 0.1133
0.7342 0.2283 0.6749
0.7694 0.7694 0.4580
0.7717 0.2658 0.3251
```

=====

Here is an optimized crystal structure of BaSiTe2O8 from Alexandria. Energies are from PBE-GGA.

ρ	5.20	Mg/m³
space group	C2/m
E_form (uncorrected)	-18.24	eV/f.u.

Geometry as POSCAR:
```
BaSiTe2O8
1.0
4.9496 -2.5338 0.0000
4.9496 2.5338 0.0000
-3.0851 0.0000 6.9851
Ba Si Te O
1 1 2 8
Direct
0.0000 0.0000 0.0000
0.5000 0.5000 0.5000
0.1819 0.1819 0.6373
0.8181 0.8181 0.3627
0.2115 0.7067 0.3201
0.2933 0.7885 0.6799
0.3016 0.3016 0.4426
0.3308 0.3308 0.8797
0.6692 0.6692 0.1203
0.6984 0.6984 0.5574
0.7067 0.2115 0.3201
0.7885 0.2933 0.6799
```

=====

Here is an optimized crystal structure of BaThSi2O8 from Alexandria. Energies are from PBE-GGA.

ρ	4.25	Mg/m³
space group	P-3m1
E_form (uncorrected)	-32.18	eV/f.u.

Geometry as POSCAR:
```
BaThSi2O8
1.0
5.6456 0.0000 0.0000
-2.8228 4.8892 0.0000
0.0000 0.0000 7.8287
Ba Th Si O
1 1 2 8
Direct
0.0000 0.0000 0.0000
0.0000 0.0000 0.5000
0.3333 0.6667 0.7609
0.6667 0.3333 0.2391
0.1746 0.3491 0.6962
0.1746 0.8254 0.6962
0.3333 0.6667 0.9723
0.3491 0.1746 0.3038
0.6509 0.8254 0.6962
0.6667 0.3333 0.0277
0.8254 0.1746 0.3038
0.8254 0.6509 0.3038
```

=====

Here is an optimized crystal structure of BaTiSiO5 from Alexandria. Energies are from PBE-GGA.

ρ	4.52	Mg/m³
space group	C2/c
E_form (uncorrected)	-23.54	eV/f.u.

Geometry as POSCAR:
```
BaTiSiO5
1.0
3.4798 -4.6292 0.0000
3.4798 4.6292 0.0000
-2.9374 0.0000 6.6814
Ba Ti Si O
2 2 2 10
Direct
0.1665 0.8335 0.7500
0.8335 0.1665 0.2500
0.5000 0.5000 0.0000
0.5000 0.5000 0.5000
0.1913 0.8087 0.2500
0.8087 0.1913 0.7500
0.1090 0.2759 0.8951
0.2136 0.6214 0.3895
0.2759 0.1090 0.3951
0.3786 0.7864 0.1105
0.4482 0.5518 0.7500
0.5518 0.4482 0.2500
0.6214 0.2136 0.8895
0.7241 0.8910 0.6049
0.7864 0.3786 0.6105
0.8910 0.7241 0.1049
```

=====

Here is an optimized crystal structure of BaTiSi2O8 from Alexandria. Energies are from PBE-GGA.

ρ	3.67	Mg/m³
space group	R-3
E_form (uncorrected)	-29.42	eV/f.u.

Geometry as POSCAR:
```
BaTiSi2O8
1.0
2.5328 1.4623 7.5129
-2.5328 1.4623 7.5129
0.0000 -2.9246 7.5129
Ba Ti Si O
1 1 2 8
Direct
0.0000 0.0000 0.0000
0.5000 0.5000 0.5000
0.2377 0.2377 0.2377
0.7623 0.7623 0.7623
0.1131 0.7352 0.4993
0.2648 0.5007 0.8869
0.3107 0.3107 0.3107
0.4993 0.1131 0.7352
0.5007 0.8869 0.2648
0.6893 0.6893 0.6893
0.7352 0.4993 0.1131
0.8869 0.2648 0.5007
```

=====

Here is an optimized crystal structure of BaTiSi3O9 from Alexandria. Energies are from PBE-GGA.

ρ	3.54	Mg/m³
space group	P-6c2
E_form (uncorrected)	-41.10	eV/f.u.

Geometry as POSCAR:
```
BaTiSi3O9
1.0
6.7238 0.0000 0.0000
-3.3619 5.8230 0.0000
0.0000 0.0000 9.8990
Ba Ti Si O
2 2 6 18
Direct
0.0000 0.0000 0.0000
0.0000 0.0000 0.5000
0.6667 0.3333 0.0000
0.6667 0.3333 0.5000
0.0446 0.4488 0.2500
0.0446 0.5958 0.7500
0.4042 0.4488 0.7500
0.4042 0.9554 0.2500
0.5512 0.5958 0.2500
0.5512 0.9554 0.7500
0.1406 0.4122 0.7500
0.1406 0.7283 0.2500
0.2717 0.4122 0.2500
0.2717 0.8594 0.7500
0.4216 0.0965 0.1131
0.4216 0.0965 0.3869
0.4216 0.3251 0.6131
0.4216 0.3251 0.8869
0.5878 0.7283 0.7500
0.5878 0.8594 0.2500
0.6749 0.0965 0.6131
0.6749 0.0965 0.8869
0.6749 0.5784 0.1131
0.6749 0.5784 0.3869
0.9035 0.3251 0.1131
0.9035 0.3251 0.3869
0.9035 0.5784 0.6131
0.9035 0.5784 0.8869
```

=====

Here is an optimized crystal structure of BaTl2SiO4 from Alexandria. Energies are from PBE-GGA.

ρ	5.87	Mg/m³
space group	Pmn2_1
E_form (uncorrected)	-16.24	eV/f.u.

Geometry as POSCAR:
```
BaTl2SiO4
1.0
7.6145 0.0000 0.0000
0.0000 8.3610 0.0000
0.0000 0.0000 5.6668
Ba Tl Si O
2 4 2 8
Direct
0.0000 0.0969 0.0000
0.5000 0.9031 0.5000
0.2449 0.6842 0.0008
0.2551 0.3158 0.5008
0.7449 0.3158 0.5008
0.7551 0.6842 0.0008
0.0000 0.8920 0.5085
0.5000 0.1080 0.0085
0.0000 0.0939 0.5083
0.0000 0.8307 0.2290
0.1783 0.8349 0.6502
0.3217 0.1651 0.1502
0.5000 0.1693 0.7290
0.5000 0.9061 0.0083
0.6783 0.1651 0.1502
0.8217 0.8349 0.6502
```

=====

Here is an optimized crystal structure of BaUSi2O8 from Alexandria. Energies are from PBE-GGA.

ρ	5.00	Mg/m³
energy above the lowest structure with this stoichiometry	0.000	eV/atom
space group	Cmcm
E_form (uncorrected)	-35.81	eV/f.u.

Geometry as POSCAR:
```
BaUSi2O8
1.0
2.8586 -8.4203 0.0000
2.8586 8.4203 0.0000
0.0000 0.0000 7.7238
Ba U Si O
2 2 4 16
Direct
0.2056 0.7944 0.7500
0.7944 0.2056 0.2500
0.1225 0.8775 0.2500
0.8775 0.1225 0.7500
0.4059 0.5941 0.0407
0.4059 0.5941 0.4593
0.5941 0.4059 0.5407
0.5941 0.4059 0.9593
0.0137 0.9863 0.2500
0.1293 0.4060 0.5362
0.1293 0.4060 0.9638
0.2332 0.7668 0.2500
0.3943 0.6057 0.2500
0.4060 0.1293 0.0362
0.4060 0.1293 0.4638
0.5000 0.5000 0.0000
0.5000 0.5000 0.5000
0.5940 0.8707 0.5362
0.5940 0.8707 0.9638
0.6057 0.3943 0.7500
0.7668 0.2332 0.7500
0.8707 0.5940 0.0362
0.8707 0.5940 0.4638
0.9863 0.0137 0.7500
```

=====

Here is an optimized crystal structure of BaUSi2O8 from Alexandria. Energies are from PBE-GGA.

ρ	4.86	Mg/m³
energy above the lowest structure with this stoichiometry	0.160	eV/atom
space group	R32
E_form (uncorrected)	-33.90	eV/f.u.

Geometry as POSCAR:
```
BaUSi2O8
1.0
2.5296 1.4604 8.6181
-2.5296 1.4604 8.6181
0.0000 -2.9209 8.6181
Ba U Si O
1 1 2 8
Direct
0.0000 0.0000 0.0000
0.5000 0.5000 0.5000
0.2438 0.2438 0.2438
0.7562 0.7562 0.7562
0.1034 0.5064 0.7342
0.2658 0.4936 0.8966
0.3054 0.3054 0.3054
0.4936 0.8966 0.2658
0.5064 0.7342 0.1034
0.6946 0.6946 0.6946
0.7342 0.1034 0.5064
0.8966 0.2658 0.4936
```

=====

Here is an optimized crystal structure of Ba2USiO6 from Alexandria. Energies are from PBE-GGA.

ρ	7.58	Mg/m³
space group	Fm-3m
E_form (uncorrected)	-28.43	eV/f.u.

Geometry as POSCAR:
```
Ba2USiO6
1.0
0.0000 4.1165 4.1165
4.1165 0.0000 4.1165
4.1165 4.1165 0.0000
Ba U Si O
2 1 1 6
Direct
0.2500 0.2500 0.2500
0.7500 0.7500 0.7500
0.0000 0.0000 0.0000
0.5000 0.5000 0.5000
0.2745 0.2745 0.7255
0.2745 0.7255 0.2745
0.2745 0.7255 0.7255
0.7255 0.2745 0.2745
0.7255 0.2745 0.7255
0.7255 0.7255 0.2745
```